VASP calculation (PBE-GGA) on a geometry-optimized Pm4AsPCl2 structure.

Summary:
E_form (uncorrected) ... -1.57 eV/atom
Total magnetization ... 0.000 μB/atom
Density ... 6.11 g cm⁻³

Unit cell a=7.2414 b=4.1555 c=7.2481 alpha=90.00 beta=109.49 gamma=90.00
Closest atoms and distances in Å follow each position.
Space group P2/m (No. 10)
Symmetry-distinct sites (fractional):
Pm1 0.2271 0.0000 0.2167  2 P 2.79, 1 As 2.91, 3 Cl 3.03-3.12
Pm2 0.2458 0.5000 0.7797  1 P 2.76, 2 As 2.88, 2 Cl 3.03
As1 0.5000 0.0000 0.0000  6 Pm 2.88-2.91
P1 0.0000 0.5000 0.0000  6 Pm 2.76-2.79
Cl1 0.0000 0.0000 0.5000  6 Pm 3.03
Cl2 0.5000 0.5000 0.5000  6 Pm 3.12-3.16